! Zr2CrBrF, optimized geometry, DFT GGA+U; values from VASP
! D(E_F)   4.551 states/eV/f.u.
! Calculated total energy   -5.987 eV/atom
&SYSTEM
  ibrav = 0, nat = 5, ntyp = 4
/
ATOMIC_SPECIES
Cr 52.00 Cr.upf
Br 79.90 Br.upf
Zr 91.22 Zr.upf
F 19.00 F.upf
CELL_PARAMETERS angstrom
-1.4128 2.3611 3.4578
-4.9025 -2.0273 -0.6188
1.0390 -3.3376 2.7034
ATOMIC_POSITIONS crystal
Cr 0.5000 0.5000 0.5000
Br 0.0000 0.5000 0.0000
Zr 0.0000 0.0000 0.5000
Zr 0.5000 0.0000 0.0000
F 0.0000 0.0000 0.0000